[1]
An optimized crystal structure of ScCu2Cl. Source: the Alexandria database, functional PBE.

Lattice parameters (Å, degrees): 4.5204 4.5204 6.4291 90.00 90.00 90.00
Space group I-4m2 (No. 119)
Symmetry-distinct sites (fractional):
Sc1 0.0000 0.0000 0.0000 (multiplicity 2)
Cu1 0.0000 0.0000 0.5000 (multiplicity 2)
Cu2 0.0000 0.5000 0.2500 (multiplicity 2)
Cl1 0.0000 0.5000 0.7500 (multiplicity 2)

## Properties
As for the total magnetic moment: 0.00 μB per cell. As for the formation energy (no corrections): -127 meV/atom. For the energy above the most stable polymorph in this dataset, the calculation gives 7.16 kcal/mol of atoms.

[2]
An optimized crystal structure of ScCu2Cl8. Source: the Alexandria database, functional PBE.

Lattice parameters (Å, degrees): 10.4943 10.8577 6.2077 90.00 108.42 90.00
Space group C2/m (No. 12)
Symmetry-distinct sites (fractional):
Sc1 0.0000 0.0000 0.0000 (multiplicity 2)
Cu1 0.1878 0.0000 0.6625 (multiplicity 4)
Cl1 0.0740 0.5000 0.1658 (multiplicity 4)
Cl2 0.0991 0.1575 0.8101 (multiplicity 8)
Cl3 0.2219 0.0000 0.3307 (multiplicity 4)

## Properties
As for the total magnetic moment: 2.14 μB per cell. As for the formation energy (no corrections): -953 meV/atom.

[3]
An optimized crystal structure of ScCuCl4. Source: the Alexandria database, functional PBE.

Lattice parameters (Å, degrees): 6.3881 6.6397 9.0775 104.27 103.25 109.46
Space group P-1 (No. 2)
Symmetry-distinct sites (fractional):
Sc1 0.1894 0.4390 0.3784 (multiplicity 2)
Cu1 0.4037 0.1572 0.8106 (multiplicity 2)
Cl1 0.0411 0.3208 0.5935 (multiplicity 2)
Cl2 0.1385 0.8969 0.8450 (multiplicity 2)
Cl3 0.2940 0.5505 0.1539 (multiplicity 2)
Cl4 0.4484 0.2278 0.4076 (multiplicity 2)

## Properties
As for the total magnetic moment: 0.40 μB per cell. As for the formation energy (no corrections): -1517 meV/atom. For the energy above the most stable polymorph in this dataset, the calculation gives 0.00 kcal/mol of atoms.

[4]
An optimized crystal structure of ScCu2Cl. Source: the Alexandria database, functional PBE.

Lattice parameters (Å, degrees): 3.6559 3.6559 5.1947 90.00 90.00 90.00
Space group P4/mmm (No. 123)
Symmetry-distinct sites (fractional):
Sc1 0.0000 0.0000 0.0000 (multiplicity 1)
Cu1 0.5000 0.5000 0.2329 (multiplicity 2)
Cl1 0.0000 0.0000 0.5000 (multiplicity 1)

## Properties
As for the total magnetic moment: 0.00 μB per cell. As for the formation energy (no corrections): -114 meV/atom. For the energy above the most stable polymorph in this dataset, the calculation gives 7.45 kcal/mol of atoms.

[5]
An optimized crystal structure of Sc2CuCl8. Source: the Alexandria database, functional PBE.

Lattice parameters (Å, degrees): 12.2728 9.2317 6.8546 90.00 90.78 90.00
Space group C2/m (No. 12)
Symmetry-distinct sites (fractional):
Sc1 0.2018 0.0000 0.1786 (multiplicity 4)
Cu1 0.0000 0.0000 0.5000 (multiplicity 2)
Cl1 0.0985 0.1823 0.3491 (multiplicity 8)
Cl2 0.1167 0.5000 0.7478 (multiplicity 4)
Cl3 0.1707 0.0000 0.8435 (multiplicity 4)

## Properties
As for the total magnetic moment: 2.00 μB per cell. As for the formation energy (no corrections): -1532 meV/atom.

[6]
An optimized crystal structure of ScCu2Cl. Source: the Alexandria database, functional PBE.

Lattice parameters (Å, degrees): 3.1456 4.0011 5.3316 90.00 90.00 90.00
Space group Pmmm (No. 47)
Symmetry-distinct sites (fractional):
Sc1 0.0000 0.0000 0.0000 (multiplicity 1)
Cu1 0.0000 0.5000 0.5000 (multiplicity 1)
Cu2 0.5000 0.0000 0.5000 (multiplicity 1)
Cl1 0.5000 0.5000 0.0000 (multiplicity 1)

## Properties
As for the total magnetic moment: 0.00 μB per cell. As for the formation energy (no corrections): -241 meV/atom. For the energy above the most stable polymorph in this dataset, the calculation gives 4.52 kcal/mol of atoms.